## K3PaMn2O8 (PBE+U)

Data for a geometry-optimized K3PaMn2O8 structure.

a b c (Å): 6.0321 6.0321 7.7585
angles (deg): 90.00 90.00 120.00
Space group P-3m1 (No. 164)
Asymmetric unit:
K 0.0000 0.0000 0.0000 (multiplicity 1)
K 0.3333 0.6667 0.6947 (multiplicity 2)
Pa 0.0000 0.0000 0.5000 (multiplicity 1)
Mn 0.3333 0.6667 0.2439 (multiplicity 2)
O 0.1668 0.3336 0.3337 (multiplicity 6)
O 0.3333 0.6667 0.0260 (multiplicity 2)

Calculated values
The total energy comes out at -94.36 eV for the cell shown.